Record 1
Below is a geometry-optimized YErPd14 structure, with properties calculated at the PBE level.

a b c (Å): 5.740 5.740 8.002
angles (deg): 90.00 90.00 90.00
Positions (direct):
Y: 0.875 0.875 0.500
Er: 0.375 0.375 0.500
Pd: 0.875 0.875 0.000
Pd: 0.375 0.375 0.000
Pd: 0.875 0.375 0.500
Pd: 0.875 0.375 0.000
Pd: 0.375 0.875 0.500
Pd: 0.375 0.875 0.000
Pd: 0.624 0.126 0.242
Pd: 0.624 0.126 0.758
Pd: 0.126 0.624 0.242
Pd: 0.126 0.624 0.758
Pd: 0.624 0.624 0.242
Pd: 0.624 0.624 0.758
Pd: 0.126 0.126 0.242
Pd: 0.126 0.126 0.758

Output
Magnetization in μB per formula unit: 0.000
Fermi-level density of states in states/eV/f.u.: 24.15
Volume in Å³ per atom: 16.5
ΔE_f in eV/f.u.: -6.63

=====

Record 2
Below is a geometry-optimized Y2ErPd8 structure, with properties calculated at the PBE level.

a b c (Å): 4.223 6.759 7.700
angles (deg): 107.85 105.92 90.00
Positions (direct):
Y: 0.782 0.334 0.565
Y: 0.218 0.666 0.435
Er: 0.500 0.000 0.000
Pd: 0.410 0.552 0.820
Pd: 0.676 0.906 0.351
Pd: 0.860 0.824 0.720
Pd: 0.964 0.281 0.927
Pd: 0.140 0.176 0.280
Pd: 0.324 0.094 0.649
Pd: 0.590 0.448 0.180
Pd: 0.036 0.719 0.073

Output
Magnetization in μB per formula unit: 0.000
Fermi-level density of states in states/eV/f.u.: 4.78
Volume in Å³ per atom: 18.2
ΔE_f in eV/f.u.: -8.31

=====

Record 3
Below is a geometry-optimized Y4ErPd structure, with properties calculated at the PBE level.

a b c (Å): 6.108 9.349 8.015
angles (deg): 116.55 99.93 110.95
Positions (direct):
Y: 0.043 0.175 0.802
Y: 0.768 0.715 0.649
Y: 0.259 0.627 0.802
Y: 0.381 0.934 0.649
Y: 0.619 0.066 0.351
Y: 0.741 0.373 0.198
Y: 0.232 0.285 0.351
Y: 0.957 0.825 0.198
Er: 0.354 0.604 0.207
Er: 0.646 0.396 0.793
Pd: 0.251 0.001 0.002
Pd: 0.749 0.999 0.998

Output
Magnetization in μB per formula unit: 0.000
Fermi-level density of states in states/eV/f.u.: 8.41
Volume in Å³ per atom: 29.2
ΔE_f in eV/f.u.: -1.18

=====

Record 4
Below is a geometry-optimized Y2ErPd2 structure, with properties calculated at the PBE level.

a b c (Å): 4.037 7.726 7.726
angles (deg): 90.00 90.00 90.00
Positions (direct):
Y: 0.500 0.165 0.665
Y: 0.500 0.665 0.835
Y: 0.500 0.835 0.335
Y: 0.500 0.335 0.165
Er: 0.000 0.000 0.000
Er: 0.000 0.500 0.500
Pd: 0.000 0.366 0.866
Pd: 0.000 0.866 0.634
Pd: 0.000 0.634 0.134
Pd: 0.000 0.134 0.366

Output
Magnetization in μB per formula unit: 0.000
Fermi-level density of states in states/eV/f.u.: 3.87
Volume in Å³ per atom: 24.1
ΔE_f in eV/f.u.: -3.68

=====

Record 5
Below is a geometry-optimized Y2ErPd structure, with properties calculated at the PBE level.

a b c (Å): 3.567 3.567 10.898
angles (deg): 80.58 80.58 60.00
Last column: magnetic moment on the atom in μB.
Positions (direct):
Y: 0.105 0.105 0.685  0.00
Y: 0.895 0.895 0.315  0.00
Pd: 0.500 0.500 0.500  0.00
Er: 0.000 0.000 0.000  0.06

Output
Magnetization in μB per formula unit: 0.101
E above lowest polymorph in kJ per mole of atoms: 38.67
Fermi-level density of states in states/eV/f.u.: 5.23
Volume in Å³ per atom: 29.5
ΔE_f in eV/f.u.: -0.30

=====

Record 6
Below is a geometry-optimized Y3ErPd structure, with properties calculated at the PBE level.

a b c (Å): 3.720 6.387 12.639
angles (deg): 87.24 81.54 73.07
Positions (direct):
Y: 0.457 0.933 0.154
Y: 0.759 0.728 0.754
Y: 0.103 0.167 0.627
Y: 0.992 0.100 0.916
Y: 0.781 0.048 0.389
Y: 0.431 0.623 0.515
Er: 0.109 0.502 0.279
Er: 0.222 0.562 0.995
Pd: 0.770 0.330 0.130
Pd: 0.437 0.345 0.782

Output
Magnetization in μB per formula unit: 0.000
E above lowest polymorph in kJ per mole of atoms: 0.00
Fermi-level density of states in states/eV/f.u.: 6.36
Volume in Å³ per atom: 28.4
ΔE_f in eV/f.u.: -1.81

=====

Record 7
Below is a geometry-optimized YEr2Pd8 structure, with properties calculated at the PBE level.

a b c (Å): 4.192 6.751 7.697
angles (deg): 107.72 105.80 90.00
Positions (direct):
Y: 0.500 0.000 0.000
Er: 0.782 0.334 0.564
Er: 0.218 0.666 0.436
Pd: 0.407 0.547 0.815
Pd: 0.678 0.908 0.356
Pd: 0.857 0.816 0.715
Pd: 0.962 0.283 0.924
Pd: 0.143 0.184 0.285
Pd: 0.322 0.092 0.644
Pd: 0.593 0.453 0.185
Pd: 0.038 0.717 0.076

Output
Magnetization in μB per formula unit: 0.000
Fermi-level density of states in states/eV/f.u.: 4.88
Volume in Å³ per atom: 18.1
ΔE_f in eV/f.u.: -8.55

=====

Record 8
Below is a geometry-optimized Y3Er2Pd2 structure, with properties calculated at the PBE level.

a b c (Å): 3.692 6.463 9.109
angles (deg): 115.15 90.00 106.60
Positions (direct):
Y: 0.500 0.000 0.000
Y: 0.612 0.224 0.438
Y: 0.388 0.776 0.562
Er: 0.839 0.678 0.186
Er: 0.161 0.322 0.814
Pd: 0.825 0.649 0.766
Pd: 0.175 0.351 0.234

Output
Magnetization in μB per formula unit: 0.001
E above lowest polymorph in kJ per mole of atoms: 0.00
Fermi-level density of states in states/eV/f.u.: 9.54
Volume in Å³ per atom: 26.7
ΔE_f in eV/f.u.: -3.63

=====

Record 9
Below is a geometry-optimized Y3ErPd structure, with properties calculated at the PBE level.

a b c (Å): 7.189 7.189 7.519
angles (deg): 104.93 114.83 106.93
Positions (direct):
Y: 0.833 0.014 0.244
Y: 0.230 0.410 0.244
Y: 0.770 0.590 0.756
Y: 0.727 0.461 0.188
Y: 0.167 0.986 0.756
Y: 0.273 0.539 0.812
Er: 0.700 0.071 0.772
Er: 0.300 0.929 0.228
Pd: 0.643 0.771 0.414
Pd: 0.357 0.229 0.586

Output
Magnetization in μB per formula unit: 0.002
E above lowest polymorph in kJ per mole of atoms: 8.73
Fermi-level density of states in states/eV/f.u.: 8.34
Volume in Å³ per atom: 30.3
ΔE_f in eV/f.u.: -1.36

=====

Record 10
Below is a geometry-optimized YEr3Pd structure, with properties calculated at the PBE level.

a b c (Å): 5.183 6.240 9.029
angles (deg): 96.17 106.68 90.00
Positions (direct):
Y: 0.590 0.359 0.179
Y: 0.410 0.641 0.821
Er: 0.040 0.773 0.079
Er: 0.960 0.227 0.921
Er: 0.317 0.101 0.635
Er: 0.683 0.899 0.365
Er: 0.206 0.564 0.413
Er: 0.794 0.436 0.587
Pd: 0.853 0.868 0.705
Pd: 0.147 0.132 0.295

Output
Magnetization in μB per formula unit: 0.000
Fermi-level density of states in states/eV/f.u.: 7.05
Volume in Å³ per atom: 27.8
ΔE_f in eV/f.u.: -1.40

=====

Record 11
Below is a geometry-optimized YEr2Pd structure, with properties calculated at the PBE level.

a b c (Å): 3.554 3.554 8.377
angles (deg): 90.00 90.00 90.00
Positions (direct):
Y: 0.500 0.500 0.500
Pd: 0.500 0.500 0.000
Er: 0.000 0.000 0.802
Er: 0.000 0.000 0.198

Output
Magnetization in μB per formula unit: 0.000
E above lowest polymorph in kJ per mole of atoms: 5.35
Fermi-level density of states in states/eV/f.u.: 4.55
Volume in Å³ per atom: 26.4
ΔE_f in eV/f.u.: -1.73

=====

Record 12
Below is a geometry-optimized YErZnPd structure, with properties calculated at the PBE level.

a b c (Å): 4.989 4.989 4.989
angles (deg): 60.00 60.00 60.00
Positions (direct):
Y: 0.500 0.500 0.500
Zn: 0.250 0.250 0.250
Pd: 0.750 0.750 0.750
Er: 0.000 0.000 0.000

Output
Magnetization in μB per formula unit: 0.000
E above lowest polymorph in kJ per mole of atoms: 2.61
Fermi-level density of states in states/eV/f.u.: 2.60
Volume in Å³ per atom: 21.9
ΔE_f in eV/f.u.: -2.46

=====

Record 13
Below is a geometry-optimized YErZnPd structure, with properties calculated at the PBE level.

a b c (Å): 3.542 3.542 6.977
angles (deg): 90.00 90.00 90.00
Positions (direct):
Y: 0.500 0.500 0.605
Er: 0.500 0.500 0.112
Zn: 0.000 0.000 0.864
Pd: 0.000 0.000 0.347

Output
Magnetization in μB per formula unit: 0.000
E above lowest polymorph in kJ per mole of atoms: 0.00
Fermi-level density of states in states/eV/f.u.: 2.99
Volume in Å³ per atom: 21.9
ΔE_f in eV/f.u.: -2.56

=====

Record 14
Below is a geometry-optimized Y2Er2ZnPd4 structure, with properties calculated at the PBE level.

a b c (Å): 6.427 6.427 6.427
angles (deg): 97.63 115.70 115.70
Positions (direct):
Y: 0.000 0.688 0.688
Y: 0.000 0.312 0.312
Er: 0.500 0.750 0.250
Er: 0.500 0.250 0.750
Zn: 0.000 0.000 0.000
Pd: 0.000 0.743 0.257
Pd: 0.487 0.743 0.743
Pd: 0.000 0.257 0.743
Pd: 0.513 0.257 0.257

Output
Magnetization in μB per formula unit: 0.000
Fermi-level density of states in states/eV/f.u.: 7.41
Volume in Å³ per atom: 22.0
ΔE_f in eV/f.u.: -4.58

=====

Record 15
Below is a geometry-optimized YbErPd2 structure, with properties calculated at the PBE level.

a b c (Å): 4.922 4.922 4.922
angles (deg): 60.00 60.00 60.00
Last column: magnetic moment on the atom in μB.
Positions (direct):
Yb: 0.000 0.000 0.000  -0.23
Pd: 0.250 0.250 0.250  0.00
Pd: 0.750 0.750 0.750  0.00
Er: 0.500 0.500 0.500  0.00

Output
Magnetization in μB per formula unit: 0.225
Fermi-level density of states in states/eV/f.u.: 15.94
Volume in Å³ per atom: 21.1
ΔE_f in eV/f.u.: -3.43

=====

Record 16
Below is a geometry-optimized Er2ZnPd structure, with properties calculated at the PBE level.

a b c (Å): 3.521 3.521 6.933
angles (deg): 90.00 90.00 90.00
Positions (direct):
Zn: 0.500 0.500 0.500
Pd: 0.500 0.500 0.000
Er: 0.000 0.000 0.754
Er: 0.000 0.000 0.246

Output
Magnetization in μB per formula unit: 0.000
E above lowest polymorph in kJ per mole of atoms: 0.00
Fermi-level density of states in states/eV/f.u.: 2.96
Volume in Å³ per atom: 21.5
ΔE_f in eV/f.u.: -2.61

=====

Record 17
Below is a geometry-optimized Er2Zn5Pd5 structure, with properties calculated at the PBE level.

a b c (Å): 4.401 5.198 9.089
angles (deg): 90.00 90.00 90.00
Positions (direct):
Er: 0.000 0.500 0.000
Er: 0.000 0.000 0.500
Zn: 0.500 0.500 0.500
Zn: 0.500 0.750 0.250
Zn: 0.500 0.250 0.750
Zn: 0.500 0.250 0.250
Zn: 0.500 0.750 0.750
Pd: 0.000 0.500 0.333
Pd: 0.000 0.000 0.821
Pd: 0.000 0.000 0.179
Pd: 0.000 0.500 0.667
Pd: 0.500 0.000 0.000

Output
Magnetization in μB per formula unit: 0.000
Fermi-level density of states in states/eV/f.u.: 4.81
Volume in Å³ per atom: 17.3
ΔE_f in eV/f.u.: -7.77

=====

Record 18
Below is a geometry-optimized Er5ZnPd2 structure, with properties calculated at the PBE level.

a b c (Å): 7.691 7.691 8.559
angles (deg): 116.70 116.70 90.00
Positions (direct):
Er: 0.517 0.696 0.712
Er: 0.804 0.983 0.288
Er: 0.000 0.000 0.000
Er: 0.500 0.500 0.000
Er: 0.196 0.017 0.712
Er: 0.696 0.196 0.712
Er: 0.017 0.517 0.712
Er: 0.304 0.804 0.288
Er: 0.983 0.483 0.288
Er: 0.483 0.304 0.288
Zn: 0.750 0.750 0.500
Zn: 0.250 0.250 0.500
Pd: 0.134 0.366 0.000
Pd: 0.634 0.134 0.000
Pd: 0.366 0.866 0.000
Pd: 0.866 0.634 0.000

Output
Magnetization in μB per formula unit: 0.004
Fermi-level density of states in states/eV/f.u.: 9.39
Volume in Å³ per atom: 24.4
ΔE_f in eV/f.u.: -4.33

=====

Record 19
Below is a geometry-optimized Er6Zn2Pd structure, with properties calculated at the PBE level.

a b c (Å): 8.361 8.361 8.361
angles (deg): 110.20 110.94 107.30
Positions (direct):
Er: 0.567 0.743 0.824
Er: 0.433 0.257 0.176
Er: 0.081 0.257 0.824
Er: 0.919 0.743 0.176
Er: 0.808 0.741 0.549
Er: 0.192 0.259 0.451
Er: 0.192 0.741 0.933
Er: 0.808 0.259 0.067
Er: 0.718 0.394 0.676
Er: 0.282 0.606 0.324
Er: 0.282 0.957 0.676
Er: 0.718 0.043 0.324
Zn: 0.500 0.373 0.873
Zn: 0.500 0.627 0.127
Zn: 0.638 0.000 0.638
Zn: 0.362 0.000 0.362
Pd: 0.000 0.500 0.500
Pd: 0.000 0.000 0.000

Output
Magnetization in μB per formula unit: 0.000
E above lowest polymorph in kJ per mole of atoms: 0.00
Fermi-level density of states in states/eV/f.u.: 8.83
Volume in Å³ per atom: 25.0
ΔE_f in eV/f.u.: -2.87

=====

Record 20
Below is a geometry-optimized Er6ZnPd2 structure, with properties calculated at the PBE level.

a b c (Å): 8.392 8.392 8.392
angles (deg): 105.56 110.87 112.06
Positions (direct):
Er: 0.540 0.719 0.821
Er: 0.460 0.281 0.179
Er: 0.102 0.281 0.821
Er: 0.898 0.719 0.179
Er: 0.809 0.759 0.568
Er: 0.191 0.241 0.432
Er: 0.191 0.759 0.950
Er: 0.809 0.241 0.050
Er: 0.704 0.375 0.671
Er: 0.296 0.625 0.329
Er: 0.296 0.967 0.671
Er: 0.704 0.033 0.329
Zn: 0.000 0.500 0.500
Zn: 0.000 0.000 0.000
Pd: 0.500 0.366 0.866
Pd: 0.500 0.634 0.134
Pd: 0.659 0.000 0.659
Pd: 0.341 0.000 0.341

Output
Magnetization in μB per formula unit: 0.000
Fermi-level density of states in states/eV/f.u.: 8.96
Volume in Å³ per atom: 25.2
ΔE_f in eV/f.u.: -4.49

=====

Record 21
Below is a geometry-optimized ErZn3Pd2 structure, with properties calculated at the PBE level.

a b c (Å): 4.096 7.174 8.697
angles (deg): 121.02 90.00 106.59
Positions (direct):
Er: 0.870 0.739 0.990
Er: 0.130 0.261 0.010
Zn: 0.274 0.548 0.434
Zn: 0.942 0.883 0.606
Zn: 0.584 0.168 0.709
Zn: 0.416 0.832 0.291
Zn: 0.058 0.117 0.394
Zn: 0.726 0.452 0.566
Pd: 0.430 0.861 0.800
Pd: 0.570 0.139 0.200
Pd: 0.793 0.586 0.256
Pd: 0.207 0.414 0.744

Output
Magnetization in μB per formula unit: 0.000
Fermi-level density of states in states/eV/f.u.: 2.23
Volume in Å³ per atom: 17.2
ΔE_f in eV/f.u.: -3.22

=====

Record 22
Below is a geometry-optimized Er2ZnPd5 structure, with properties calculated at the PBE level.

a b c (Å): 5.746 5.746 5.746
angles (deg): 93.78 117.84 117.84
Positions (direct):
Er: 0.500 0.278 0.778
Er: 0.500 0.778 0.278
Zn: 0.000 0.778 0.778
Pd: 0.500 0.778 0.778
Pd: 0.000 0.778 0.278
Pd: 0.000 0.278 0.778
Pd: 0.500 0.278 0.278
Pd: 0.000 0.278 0.278

Output
Magnetization in μB per formula unit: 0.000
Fermi-level density of states in states/eV/f.u.: 1.51
Volume in Å³ per atom: 17.3
ΔE_f in eV/f.u.: -6.74

=====

Record 23
Below is a geometry-optimized Er6Zn2Pd structure, with properties calculated at the PBE level.

a b c (Å): 4.907 6.907 8.420
angles (deg): 114.21 106.89 90.00
Positions (direct):
Er: 0.163 0.412 0.327
Er: 0.837 0.086 0.673
Er: 0.837 0.588 0.673
Er: 0.500 0.247 0.000
Er: 0.163 0.914 0.327
Er: 0.500 0.753 0.000
Zn: 0.667 0.667 0.335
Zn: 0.333 0.333 0.665
Pd: 0.000 0.000 0.000

Output
Magnetization in μB per formula unit: 0.000
E above lowest polymorph in kJ per mole of atoms: 15.33
Fermi-level density of states in states/eV/f.u.: 10.37
Volume in Å³ per atom: 27.4
ΔE_f in eV/f.u.: -1.44